First-principles (PBE+U) data for a relaxed TiZn2WO6 crystal, as listed in the Alexandria database.

The structure in CIF format:
```
data_TiZn2WO6
_chemical_formula_sum 'Ti2 Zn4 W2 O12'
_symmetry_space_group_name_H-M 'P 1 21/c 1'
_symmetry_Int_Tables_number 14
_symmetry_space_group_name_Hall '-P 2ybc'
_cell_length_a 5.244
_cell_length_b 5.313
_cell_length_c 9.376
_cell_angle_alpha 90.00
_cell_angle_beta 123.74
_cell_angle_gamma 90.00
loop_
_atom_site_label
_atom_site_type_symbol
_atom_site_fract_x
_atom_site_fract_y
_atom_site_fract_z
_atom_site_occupancy
Ti1 Ti 0.000 0.000 0.000 1
Zn1 Zn 0.265 0.024 0.753 1
W1 W 0.500 0.000 0.500 1
O1 O 0.096 0.184 0.430 1
O2 O 0.266 0.669 0.442 1
O3 O 0.357 0.088 0.242 1
```

Total magnetization ... 4.00 μB/cell
Energy above the most stable polymorph in this dataset ... 24 meV per atom
Total energy ... -6.7238 eV/atom